A plane-wave DFT calculation with GGA-PBEsol was carried out for a relaxed TaBeBi3 crystal.

Cell: 4.9626 4.9626 4.9626 Å, 90.00 90.00 90.00°
Site moments in Bohr magnetons follow the coordinates.
Positions (direct):
Be: 0.0000 0.0000 0.0000  0.03
Bi: 0.0000 0.5000 0.0000  -0.02
Bi: 0.0000 0.0000 0.5000  -0.02
Bi: 0.5000 0.0000 0.0000  -0.02
Ta: 0.5000 0.5000 0.5000  1.13

DFT total energy = -0.3499 Ry/atom
space-group type = Pm-3m (221)

A plane-wave DFT calculation with GGA-PBEsol was carried out for a relaxed Be3TcBi crystal.

Cell: 4.5596 4.5596 4.5596 Å, 90.00 90.00 90.00°
Site moments in Bohr magnetons follow the coordinates.
Positions (direct):
Be: 0.0000 0.5000 0.0000  -0.06
Be: 0.0000 0.0000 0.5000  -0.06
Be: 0.5000 0.0000 0.0000  -0.06
Bi: 0.0000 0.0000 0.0000  0.04
Tc: 0.5000 0.5000 0.5000  2.66

DFT total energy = -0.2514 Ry/atom
space-group type = Pm-3m (221)

A plane-wave DFT calculation with GGA-PBEsol was carried out for a relaxed BeTcBi3 crystal.

Cell: 4.9402 4.9402 4.9402 Å, 90.00 90.00 90.00°
Site moments in Bohr magnetons follow the coordinates.
Positions (direct):
Be: 0.0000 0.0000 0.0000  0.01
Bi: 0.0000 0.5000 0.0000  -0.07
Bi: 0.0000 0.0000 0.5000  -0.07
Bi: 0.5000 0.0000 0.0000  -0.07
Tc: 0.5000 0.5000 0.5000  2.57

DFT total energy = -0.3290 Ry/atom
space-group type = Pm-3m (221)

A plane-wave DFT calculation with GGA-PBEsol was carried out for a relaxed BeBiTe2 crystal.

Cell: 3.9164 3.9164 7.7431 Å, 75.35 75.35 60.00°
Positions (direct):
Be: 0.5000 0.5000 0.5000
Te: 0.7705 0.7705 0.6886
Te: 0.2295 0.2295 0.3114
Bi: 0.0000 0.0000 0.0000

space-group type = R-3m (166)
formation energy from raw total energies = 8 kJ/mol of formula units

Taking the records one at a time from the top gives spin magnetization values of 1.64, 2.53, 2.66, 0.00 μB per formula unit.
Taking the records one at a time from the top gives N(E_F) values of 1.19, 0.59, 0.95, 0.33 states/eV/atom.
Taking the records one at a time from the top gives theoretical density values of 11.10, 5.85, 10.11, 7.99 g/cm3.